1.
Material: Gd2DyMg3Ir2Au
Method: DFT, PBE
State: optimized geometry

Cell and atoms, written as CIF:
```
data_Gd2DyMg3Ir2Au
_chemical_formula_sum 'Gd4 Dy2 Mg6 Ir4 Au2'
_cell_length_a 4.031
_cell_length_b 12.874
_cell_length_c 7.446
_cell_angle_alpha 90.00
_cell_angle_beta 90.00
_cell_angle_gamma 90.00
_symmetry_space_group_name_H-M 'A m m 2'
_symmetry_Int_Tables_number 38
loop_
_symmetry_equiv_pos_as_xyz
'x,y,z'
'-x,-y,z'
'-x,y,z'
'x,-y,z'
'x,y+1/2,z+1/2'
'-x,-y+1/2,z+1/2'
'-x,y+1/2,z+1/2'
'x,-y+1/2,z+1/2'
loop_
_atom_site_label
_atom_site_type_symbol
_atom_site_fract_x
_atom_site_fract_y
_atom_site_fract_z
Gd1 Gd 0.000 0.209 0.000
Dy1 Dy 0.000 0.000 0.627
Mg1 Mg 0.500 0.000 0.956
Mg2 Mg 0.500 0.126 0.336
Ir1 Ir 0.500 0.166 0.709
Au1 Au 0.000 0.000 0.210
```

The total energy comes out at -5.07 eV/atom.

---

2.
Material: Gd2DyMg3Pd2Au
Method: DFT, PBE
State: optimized geometry

Cell and atoms, written as CIF:
```
data_Gd2DyMg3Pd2Au
_chemical_formula_sum 'Gd4 Dy2 Mg6 Pd4 Au2'
_cell_length_a 4.088
_cell_length_b 13.013
_cell_length_c 7.521
_cell_angle_alpha 90.00
_cell_angle_beta 90.00
_cell_angle_gamma 90.00
_symmetry_space_group_name_H-M 'A m m 2'
_symmetry_Int_Tables_number 38
loop_
_symmetry_equiv_pos_as_xyz
'x,y,z'
'-x,-y,z'
'-x,y,z'
'x,-y,z'
'x,y+1/2,z+1/2'
'-x,-y+1/2,z+1/2'
'-x,y+1/2,z+1/2'
'x,-y+1/2,z+1/2'
loop_
_atom_site_label
_atom_site_type_symbol
_atom_site_fract_x
_atom_site_fract_y
_atom_site_fract_z
Gd1 Gd 0.000 0.207 0.000
Dy1 Dy 0.000 0.000 0.621
Mg1 Mg 0.500 0.000 0.958
Mg2 Mg 0.500 0.124 0.332
Pd1 Pd 0.500 0.166 0.707
Au1 Au 0.000 0.000 0.209
```

The total energy comes out at -4.26 eV/atom.

---

3.
Material: Gd2DyMg3Pt2Au
Method: DFT, PBE
State: optimized geometry

Cell and atoms, written as CIF:
```
data_Gd2DyMg3Pt2Au
_chemical_formula_sum 'Gd4 Dy2 Mg6 Pt4 Au2'
_cell_length_a 4.053
_cell_length_b 12.957
_cell_length_c 7.494
_cell_angle_alpha 90.00
_cell_angle_beta 90.00
_cell_angle_gamma 90.00
_symmetry_space_group_name_H-M 'A m m 2'
_symmetry_Int_Tables_number 38
loop_
_symmetry_equiv_pos_as_xyz
'x,y,z'
'-x,-y,z'
'-x,y,z'
'x,-y,z'
'x,y+1/2,z+1/2'
'-x,-y+1/2,z+1/2'
'-x,y+1/2,z+1/2'
'x,-y+1/2,z+1/2'
loop_
_atom_site_label
_atom_site_type_symbol
_atom_site_fract_x
_atom_site_fract_y
_atom_site_fract_z
Gd1 Gd 0.000 0.208 0.000
Dy1 Dy 0.000 0.000 0.624
Mg1 Mg 0.500 0.000 0.957
Mg2 Mg 0.500 0.125 0.334
Pt1 Pt 0.500 0.166 0.708
Au1 Au 0.000 0.000 0.210
```

The total energy comes out at -4.63 eV/atom.